1.
## Ti3TlV (PBE)

Data for Ti3TlV after structural relaxation.

The structure in POSCAR format:
```
Ti3TlV
1.0
-3.329 -0.333 -0.296
1.428 -1.897 5.129
-1.236 8.849 3.953
V Ti Tl
2 6 2
Direct
0.648 0.296 0.546 V
0.352 0.704 0.454 V
0.245 0.491 0.716 Ti
0.566 0.132 0.826 Ti
0.755 0.509 0.284 Ti
0.959 0.918 0.631 Ti
0.041 0.082 0.369 Ti
0.434 0.868 0.174 Ti
0.143 0.286 0.067 Tl
0.857 0.714 0.933 Tl
```

Values from the calculation:
Magnetization, μB per cell: 0.00
Calculated volume, Å³/cell: 177.0
Raw total energy, eV per atom: -6.947
E above lowest polymorph, meV per atom: 0

---

2.
## Tm5Ag4Ru (PBE)

Data for Tm5Ag4Ru after structural relaxation.

The structure in POSCAR format:
```
Tm5Ag4Ru
1.0
-2.647 0.519 2.220
1.115 -2.673 1.954
10.332 11.374 9.662
Ag Tm Ru
4 5 1
Direct
0.000 0.000 0.194 Ag
0.000 0.000 0.601 Ag
0.000 0.000 0.806 Ag
0.000 0.000 0.399 Ag
0.500 0.500 0.089 Tm
0.500 0.500 0.911 Tm
0.500 0.500 0.704 Tm
0.500 0.500 0.500 Tm
0.500 0.500 0.296 Tm
0.000 0.000 0.000 Ru
```

Values from the calculation:
Magnetization, μB per cell: 0.00
Calculated volume, Å³/cell: 221.5
Raw total energy, eV per atom: -4.685

---

3.
## Dy4ZnAg3 (PBE)

Data for Dy4ZnAg3 after structural relaxation.

The structure in POSCAR format:
```
Dy4ZnAg3
1.0
-3.406 0.130 1.163
-1.169 -0.226 -3.399
-0.202 -14.538 1.038
Ag Zn Dy
3 1 4
Direct
0.500 0.500 0.754 Ag
0.500 0.500 0.246 Ag
0.500 0.500 0.500 Ag
0.500 0.500 0.000 Zn
0.000 0.000 0.627 Dy
0.000 0.000 0.880 Dy
0.000 0.000 0.120 Dy
0.000 0.000 0.373 Dy
```

Values from the calculation:
Magnetization, μB per cell: 0.00
Calculated volume, Å³/cell: 189.1
Raw total energy, eV per atom: -3.860
E above lowest polymorph, meV per atom: 0

---

4.
## CaBi6Pb (PBE)

Data for CaBi6Pb after structural relaxation.

The structure in POSCAR format:
```
CaBi6Pb
1.0
-5.514 2.693 1.538
-1.694 -5.572 3.683
3.417 5.246 3.062
Bi Ca Pb
6 1 1
Direct
0.500 0.037 0.573 Bi
0.000 0.455 0.421 Bi
0.000 0.486 0.972 Bi
0.500 0.029 0.058 Bi
0.000 0.965 0.421 Bi
0.500 0.535 0.573 Bi
0.500 0.542 0.083 Ca
0.000 0.950 0.900 Pb
```

Values from the calculation:
Magnetization, μB per cell: 0.00
Calculated volume, Å³/cell: 264.1
Raw total energy, eV per atom: -3.778

---

5.
## Hg2PtAu (PBE)

Data for Hg2PtAu after structural relaxation.

The structure in POSCAR format:
```
Hg2PtAu
1.0
-0.608 -6.793 -0.018
3.571 -4.937 3.064
-3.885 5.602 -0.198
Au Hg Pt
1 2 1
Direct
0.304 0.804 0.500 Au
0.702 0.202 0.500 Hg
0.992 0.992 0.000 Hg
0.501 0.501 0.000 Pt
```

Values from the calculation:
Magnetization, μB per cell: 0.00
Calculated volume, Å³/cell: 85.9
Raw total energy, eV per atom: -2.440
E above lowest polymorph, meV per atom: 0

---

6.
## SbRuI2O (PBE)

Data for SbRuI2O after structural relaxation.

The structure in POSCAR format:
```
SbRuI2O
1.0
5.352 0.000 0.000
0.000 5.352 0.000
0.000 0.000 5.043
I O Sb Ru
2 1 1 1
Direct
0.500 0.000 0.000 I
0.000 0.500 0.000 I
0.500 0.500 0.500 O
0.000 0.000 0.500 Sb
0.000 0.000 0.000 Ru
```

Values from the calculation:
Magnetization, μB per cell: 0.00
Calculated volume, Å³/cell: 144.4
Raw total energy, eV per atom: -3.379
E above lowest polymorph, meV per atom: 892

---

7.
## LiNb2GeN (PBE)

Data for LiNb2GeN after structural relaxation.

The structure in POSCAR format:
```
LiNb2GeN
1.0
4.259 0.000 0.000
0.000 4.259 0.000
0.000 0.000 3.849
Nb N Li Ge
2 1 1 1
Direct
0.000 0.500 0.000 Nb
0.500 0.000 0.000 Nb
0.000 0.000 0.000 N
0.000 0.000 0.500 Li
0.500 0.500 0.500 Ge
```

Values from the calculation:
Magnetization, μB per cell: 0.00
Calculated volume, Å³/cell: 69.8
Raw total energy, eV per atom: -7.529

---

8.
## SrNiGe2Pt (PBE)

Data for SrNiGe2Pt after structural relaxation.

The structure in POSCAR format:
```
SrNiGe2Pt
1.0
4.321 0.000 0.000
0.000 4.321 0.000
-2.161 -2.161 5.204
Sr Ge Ni Pt
1 2 1 1
Direct
0.000 0.000 0.000 Sr
0.367 0.367 0.734 Ge
0.633 0.633 0.266 Ge
0.750 0.250 0.500 Ni
0.250 0.750 0.500 Pt
```

Values from the calculation:
Magnetization, μB per cell: 0.00
Calculated volume, Å³/cell: 97.2
Raw total energy, eV per atom: -5.177

---

9.
## P2OsRu (PBE)

Data for P2OsRu after structural relaxation.

The structure in POSCAR format:
```
P2OsRu
1.0
-0.981 2.221 -1.860
-1.876 -1.861 -1.233
-9.107 3.349 8.806
Os P Ru
2 4 2
Direct
0.500 0.000 0.856 Os
0.500 0.500 0.356 Os
0.000 0.000 0.278 P
0.000 0.500 0.778 P
0.500 0.500 0.536 P
0.500 0.000 0.036 P
0.000 0.500 0.131 Ru
0.000 0.000 0.631 Ru
```

Values from the calculation:
Magnetization, μB per cell: 0.00
Calculated volume, Å³/cell: 116.9
Raw total energy, eV per atom: -8.107
E above lowest polymorph, meV per atom: 71

---

10.
## La2DyTl4 (PBE)

Data for La2DyTl4 after structural relaxation.

The structure in POSCAR format:
```
La2DyTl4
1.0
-3.444 2.130 -4.098
-4.413 -0.008 3.704
5.857 6.509 2.512
Dy Tl La
1 4 2
Direct
0.000 0.000 0.000 Dy
0.000 0.500 0.000 Tl
0.500 0.000 0.000 Tl
0.812 0.812 0.623 Tl
0.188 0.188 0.377 Tl
0.390 0.390 0.780 La
0.610 0.610 0.220 La
```

Values from the calculation:
Magnetization, μB per cell: 0.05
Calculated volume, Å³/cell: 270.4
Raw total energy, eV per atom: -3.351
E above lowest polymorph, meV per atom: 330

---

11.
## Nd2LuSi (PBE)

Data for Nd2LuSi after structural relaxation.

The structure in POSCAR format:
```
Nd2LuSi
1.0
-2.522 -1.781 3.596
-2.125 -2.971 -2.963
3.367 -3.189 0.782
Nd Lu Si
2 1 1
Direct
0.000 0.500 0.000 Nd
0.000 0.000 0.500 Nd
0.500 0.000 0.000 Lu
0.500 0.500 0.500 Si
```

Values from the calculation:
Magnetization, μB per cell: 0.00
Calculated volume, Å³/cell: 104.8
Raw total energy, eV per atom: -5.099
E above lowest polymorph, meV per atom: 0

---

12.
## ScNb3Si (PBE)

Data for ScNb3Si after structural relaxation.

The structure in POSCAR format:
```
ScNb3Si
1.0
-3.916 2.589 0.092
-2.578 -3.911 0.323
0.255 0.219 4.683
Nb Sc Si
3 1 1
Direct
0.500 0.000 0.000 Nb
0.000 0.000 0.500 Nb
0.000 0.500 0.000 Nb
0.000 0.000 0.000 Sc
0.500 0.500 0.500 Si
```

Values from the calculation:
Magnetization, μB per cell: 0.00
Calculated volume, Å³/cell: 103.5
Raw total energy, eV per atom: -6.756
E above lowest polymorph, meV per atom: 1213

---

13.
## CdHg2Pb (PBE)

Data for CdHg2Pb after structural relaxation.

The structure in POSCAR format:
```
CdHg2Pb
1.0
-2.726 -5.110 2.402
3.787 -4.011 2.981
-2.337 5.814 -0.211
Cd Pb Hg
1 1 2
Direct
0.759 0.259 0.500 Cd
0.506 0.506 0.000 Pb
0.242 0.742 0.500 Hg
0.993 0.993 0.000 Hg
```

Values from the calculation:
Magnetization, μB per cell: 0.00
Calculated volume, Å³/cell: 106.8
Raw total energy, eV per atom: -1.263